The following is a DFT calculation (PBE-GGA) of crystalline TbPr3Sm4Te8 at its relaxed geometry.

Unit cell a=8.9434 b=8.9434 c=21.8820 alpha=90.00 beta=90.00 gamma=120.00
Last column: nearest neighbours and their distance in Å.
Space group R-3m (No. 166, hexagonal axes)
One atom of each set of equivalent atoms:
1 Tb 0.0000 0.0000 0.0000  6 Te 3.13
2 Pr 0.0000 0.5000 0.0000  6 Te 3.19
3 Sm 0.0000 0.0000 0.5000  6 Te 3.19
4 Sm 0.0000 0.5000 0.5000  6 Te 3.13
5 Te 0.0000 0.0000 0.2476  3 Sm 3.13, 3 Pr 3.19
6 Te 0.0061 0.5030 0.7508  3 Sm 3.13-3.19, 1 Tb 3.13, 2 Pr 3.19

Summary:
DOS(E_F): 37.57 states/eV/cell
E_form (uncorrected): -1389 meV per atom
theoretical density: 7.24 Mg/m³
total magnetic moment: 0.0 μB/cell
raw total energy: -85.2 eV/f.u.

=====

The following is a DFT calculation (PBE-GGA) of crystalline Ca2SnO at its relaxed geometry.

Unit cell a=3.1759 b=3.1759 c=7.7633 alpha=90.00 beta=90.00 gamma=90.00
Last column: nearest neighbours and their distance in Å.
Space group P4/mmm (No. 123)
One atom of each set of equivalent atoms:
1 Ca 0.0000 0.0000 0.1873  4 O 2.68, 1 Ca 2.91
2 Sn 0.5000 0.5000 0.5000  4 Sn 3.18, 8 Ca 3.31
3 O 0.5000 0.5000 0.0000  8 Ca 2.68

Summary:
DOS(E_F): 0.26 states/eV/cell
E_form (uncorrected): -1395 meV per atom
theoretical density: 4.56 Mg/m³
relative energy among the computed polymorphs: 274 meV per atom
total magnetic moment: 0.0 μB/cell
raw total energy: -18.5 eV/f.u.